A plane-wave DFT calculation with PBE was carried out for a relaxed SbP2Se crystal.

```
4
Lattice="-3.015 1.557 -2.217 1.794 -1.733 -3.658 -1.801 -5.063 -1.106" Properties=species:S:1:pos:R:3 pbc="T T T"
P -1.340 -0.532 -2.257
P -0.093 -0.605 -0.298
Se -1.556 -4.167 -4.516
Sb -0.038 -3.334 -2.291
```

Density of states at the Fermi level ... 1.0 states/eV/cell
Energy relative to the elements, uncorrected ... 0.162 eV/atom
Excess energy over the best structure of this formula in the dataset ... 0.027 eV per atom
E_tot ... -17.8 eV for the cell shown
Space-group type ... No. 6


A plane-wave DFT calculation with PBE was carried out for a relaxed SbPSe2 crystal.

```
4
Lattice="0.000 3.461 3.461 3.461 0.000 3.461 3.461 3.461 0.000" Properties=species:S:1:pos:R:3 pbc="T T T"
Se 0.000 0.000 0.000
Se 5.191 5.191 5.191
Sb 1.730 1.730 1.730
P 3.461 3.461 3.461
```

Density of states at the Fermi level ... 4.3 states/eV/cell
Energy relative to the elements, uncorrected ... 0.517 eV/atom
Excess energy over the best structure of this formula in the dataset ... 0.516 eV per atom
E_tot ... -14.4 eV for the cell shown
Space-group type ... No. 216


A plane-wave DFT calculation with PBE was carried out for a relaxed Sb2PSe crystal.

```
4
Lattice="3.531 0.000 0.000 0.000 3.531 0.000 0.000 0.000 8.520" Properties=species:S:1:pos:R:3 pbc="T T T"
P 1.766 1.766 6.894
Se 0.000 0.000 3.852
Sb 0.000 0.000 8.034
Sb 1.766 1.766 2.520
```

Density of states at the Fermi level ... 2.3 states/eV/cell
Energy relative to the elements, uncorrected ... 0.251 eV/atom
Excess energy over the best structure of this formula in the dataset ... 0.229 eV per atom
E_tot ... -16.1 eV for the cell shown
Space-group type ... No. 99


A plane-wave DFT calculation with PBE was carried out for a relaxed SbPSe2 crystal.

```
4
Lattice="3.855 0.000 0.000 0.000 3.855 0.000 0.000 0.000 7.842" Properties=species:S:1:pos:R:3 pbc="T T T"
Sb 1.928 1.928 4.578
P 0.000 0.000 5.375
Se 0.000 0.000 7.511
Se 1.928 1.928 2.141
```

Density of states at the Fermi level ... 2.3 states/eV/cell
Energy relative to the elements, uncorrected ... 0.192 eV/atom
Excess energy over the best structure of this formula in the dataset ... 0.190 eV per atom
E_tot ... -15.7 eV for the cell shown
Space-group type ... No. 99


A plane-wave DFT calculation with PBE was carried out for a relaxed SbP2Se crystal.

```
4
Lattice="6.343 0.006 -0.035 5.403 3.322 -0.035 1.511 0.428 4.569" Properties=species:S:1:pos:R:3 pbc="T T T"
P 7.461 2.115 2.849
P 12.424 3.521 3.899
Se 9.943 2.818 3.374
Sb 3.314 0.939 1.125
```

Density of states at the Fermi level ... 1.7 states/eV/cell
Energy relative to the elements, uncorrected ... 0.288 eV/atom
Excess energy over the best structure of this formula in the dataset ... 0.153 eV per atom
E_tot ... -17.3 eV for the cell shown
Space-group type ... No. 12


A plane-wave DFT calculation with PBE was carried out for a relaxed SbP2Se crystal.

```
4
Lattice="7.586 0.060 0.036 6.694 3.570 0.036 6.694 1.701 3.138" Properties=species:S:1:pos:R:3 pbc="T T T"
P 5.511 1.401 0.843
P 20.821 5.292 3.187
Sb 10.827 2.752 1.657
Se 15.278 3.883 2.338
```

Density of states at the Fermi level ... 0.9 states/eV/cell
Energy relative to the elements, uncorrected ... 0.177 eV/atom
Excess energy over the best structure of this formula in the dataset ... 0.042 eV per atom
E_tot ... -17.7 eV for the cell shown
Space-group type ... No. 160


A plane-wave DFT calculation with PBE was carried out for a relaxed SbPSe4 crystal.

```
6
Lattice="0.000 4.024 4.024 4.024 0.000 4.024 4.024 4.024 0.000" Properties=species:S:1:pos:R:3 pbc="T T T"
Se 3.023 3.023 3.023
Se 5.025 5.025 3.023
Se 5.025 3.023 5.025
Se 3.023 5.025 5.025
P 6.037 6.037 6.037
Sb 0.000 0.000 0.000
```

Density of states at the Fermi level ... 5.1 states/eV/cell
Energy relative to the elements, uncorrected ... 0.849 eV/atom
Excess energy over the best structure of this formula in the dataset ... 0.807 eV per atom
E_tot ... -18.4 eV for the cell shown
Space-group type ... No. 216


A plane-wave DFT calculation with PBE was carried out for a relaxed SbP2Se crystal.

```
4
Lattice="-0.522 3.039 1.231 -2.526 0.422 -2.113 -5.240 -3.180 5.629" Properties=species:S:1:pos:R:3 pbc="T T T"
P -0.760 -0.461 0.816
P -1.966 1.462 0.035
Se -5.815 -0.874 4.169
Sb -2.366 -1.436 2.541
```

Density of states at the Fermi level ... 0.4 states/eV/cell
Energy relative to the elements, uncorrected ... 0.135 eV/atom
Excess energy over the best structure of this formula in the dataset ... 0.000 eV per atom
E_tot ... -17.9 eV for the cell shown
Space-group type ... No. 99